Material: DyTlPdRh
Method: DFT, GGA-PBE
State: optimized geometry

Properties
ΔH_f (0 K) = -0.572 eV per atom
Size of the total moment = 0.00 Bohr magnetons per cell
Calculated volume = 19.41 Å³/atom
E_tot = -5.4497 eV/atom
Symmetry = F-43m (216)

abc: 4.789 4.789 4.789
angles: 60.00 60.00 60.00
Sites, in units of the cell vectors:
Dy  0.000  0.000  0.000
Tl  0.500  0.500  0.500
Pd  0.750  0.750  0.750
Rh  0.250  0.250  0.250

---

Material: MgAl2Co
Method: DFT, GGA-PBE
State: optimized geometry

Properties
ΔH_f (0 K) = 0.315 eV per atom
Size of the total moment = 1.01 Bohr magnetons per cell
Calculated volume = 16.96 Å³/atom
E_tot = -3.7312 eV/atom
Symmetry = I-42d (122)

abc: 9.413 9.413 9.413
angles: 156.21 156.21 33.90
Sites, in units of the cell vectors:
Mg  0.000  0.000  0.000
Mg  0.750  0.250  0.500
Al  0.154  0.625  0.029
Al  0.375  0.404  0.529
Al  0.596  0.125  0.971
Al  0.875  0.846  0.471
Co  0.250  0.750  0.500
Co  0.500  0.500  0.000

---

Material: K2DyNpO6
Method: DFT, GGA-PBE
State: optimized geometry

Properties
Size of the total moment = 0.00 Bohr magnetons per cell
Calculated volume = 15.90 Å³/atom
E_tot = -7.6325 eV/atom
Symmetry = Fm-3m (225)

abc: 6.081 6.081 6.081
angles: 60.00 60.00 60.00
Sites, in units of the cell vectors:
K  0.250  0.250  0.250
K  0.750  0.750  0.750
Dy  0.000  0.000  0.000
Np  0.500  0.500  0.500
O  0.264  0.264  0.736
O  0.264  0.736  0.264
O  0.264  0.736  0.736
O  0.736  0.264  0.264
O  0.736  0.264  0.736
O  0.736  0.736  0.264

---

Material: Pr2ThCu6
Method: DFT, GGA-PBE
State: optimized geometry

Properties
ΔH_f (0 K) = -0.194 eV per atom
Size of the total moment = 0.00 Bohr magnetons per cell
Calculated volume = 20.08 Å³/atom
E_tot = -4.8112 eV/atom
Symmetry = P6/mmm (191)

abc: 7.478 7.478 3.731
angles: 90.00 90.00 120.00
Sites, in units of the cell vectors:
Pr  0.333  0.667  0.000
Pr  0.667  0.333  0.000
Th  0.000  0.000  0.000
Cu  0.000  0.332  0.500
Cu  0.000  0.668  0.500
Cu  0.332  0.000  0.500
Cu  0.332  0.332  0.500
Cu  0.668  0.000  0.500
Cu  0.668  0.668  0.500

---

Material: K2ZnSe
Method: DFT, GGA-PBE
State: optimized geometry

Properties
Size of the total moment = 0.00 Bohr magnetons per cell
Calculated volume = 30.94 Å³/atom
E_tot = -2.1462 eV/atom
Symmetry = F-43m (216)
Energy relative to the lowest polymorph listed for this composition = 0.197 eV per atom

abc: 5.594 5.594 5.594
angles: 60.00 60.00 60.00
Sites, in units of the cell vectors:
K  0.000  0.000  0.000
K  0.250  0.250  0.250
Zn  0.500  0.500  0.500
Se  0.750  0.750  0.750

---

Material: MnHg2Te3
Method: DFT, GGA-PBE
State: optimized geometry

Properties
Size of the total moment = 4.98 Bohr magnetons per cell
Calculated volume = 34.95 Å³/atom
E_tot = -3.3360 eV/atom
Symmetry = P3m1 (156)

abc: 4.644 4.644 11.226
angles: 90.00 90.00 120.00
Sites, in units of the cell vectors:
Mn  0.000  0.000  0.000
Hg  0.333  0.667  0.678
Hg  0.667  0.333  0.334
Te  0.000  0.000  0.242
Te  0.333  0.667  0.935
Te  0.667  0.333  0.588

---

Material: CaNdSb2Pd5
Method: DFT, GGA-PBE
State: optimized geometry

Properties
Size of the total moment = 0.00 Bohr magnetons per cell
Calculated volume = 20.83 Å³/atom
E_tot = -5.2317 eV/atom
Symmetry = P4/mmm (123)

abc: 4.630 4.630 8.746
angles: 90.00 90.00 90.00
Sites, in units of the cell vectors:
Ca  0.000  0.000  0.000
Nd  0.000  0.000  0.500
Sb  0.500  0.500  0.337
Sb  0.500  0.500  0.663
Pd  0.000  0.500  0.207
Pd  0.000  0.500  0.793
Pd  0.500  0.000  0.207
Pd  0.500  0.000  0.793
Pd  0.500  0.500  0.000

---

Material: LiBe2Nb2
Method: DFT, GGA-PBE
State: optimized geometry

Properties
ΔH_f (0 K) = 0.148 eV per atom
Size of the total moment = 0.00 Bohr magnetons per cell
Calculated volume = 13.70 Å³/atom
E_tot = -5.7535 eV/atom
Symmetry = P4/mbm (127)

abc: 6.761 6.761 2.996
angles: 90.00 90.00 90.00
Sites, in units of the cell vectors:
Li  0.000  0.000  0.000
Li  0.500  0.500  0.000
Be  0.112  0.388  0.000
Be  0.388  0.888  0.000
Be  0.612  0.112  0.000
Be  0.888  0.612  0.000
Nb  0.180  0.680  0.500
Nb  0.320  0.180  0.500
Nb  0.680  0.820  0.500
Nb  0.820  0.320  0.500

---

Material: TiTl3Cr
Method: DFT, GGA-PBE
State: optimized geometry

Properties
ΔH_f (0 K) = 0.928 eV per atom
Size of the total moment = 4.41 Bohr magnetons per cell
Calculated volume = 27.80 Å³/atom
E_tot = -3.9956 eV/atom
Symmetry = Pm-3m (221)
Energy relative to the lowest polymorph listed for this composition = 0.000 eV per atom

abc: 5.180 5.180 5.180
angles: 90.00 90.00 90.00
Sites, in units of the cell vectors:
Ti  0.000  0.000  0.000
Tl  0.000  0.500  0.500
Tl  0.500  0.000  0.500
Tl  0.500  0.500  0.000
Cr  0.500  0.500  0.500

---

Material: Ni2MoPb
Method: DFT, GGA-PBE
State: optimized geometry

Properties
ΔH_f (0 K) = 0.419 eV per atom
Size of the total moment = 1.13 Bohr magnetons per cell
Calculated volume = 15.30 Å³/atom
E_tot = -6.1062 eV/atom
Symmetry = P4/mmm (123)

abc: 4.023 4.023 3.779
angles: 90.00 90.00 90.00
Sites, in units of the cell vectors:
Ni  0.000  0.500  0.000
Ni  0.500  0.000  0.000
Mo  0.000  0.000  0.500
Pb  0.500  0.500  0.500

---

Material: AlAg6Au3
Method: DFT, GGA-PBE
State: optimized geometry

Properties
ΔH_f (0 K) = -0.002 eV per atom
Size of the total moment = 0.00 Bohr magnetons per cell
Calculated volume = 18.44 Å³/atom
E_tot = -3.0704 eV/atom
Symmetry = R-3 (148)
Energy relative to the lowest polymorph listed for this composition = 0.053 eV per atom

abc: 7.172 7.172 7.172
angles: 89.33 89.33 89.33
Sites, in units of the cell vectors:
Al  0.000  0.000  0.000
Al  0.500  0.500  0.500
Ag  0.009  0.895  0.340
Ag  0.105  0.660  0.991
Ag  0.118  0.441  0.348
Ag  0.340  0.009  0.895
Ag  0.348  0.118  0.441
Ag  0.441  0.348  0.118
Ag  0.559  0.652  0.882
Ag  0.652  0.882  0.559
Ag  0.660  0.991  0.105
Ag  0.882  0.559  0.652
Ag  0.895  0.340  0.009
Ag  0.991  0.105  0.660
Au  0.245  0.754  0.622
Au  0.246  0.378  0.755
Au  0.378  0.755  0.246
Au  0.622  0.245  0.754
Au  0.754  0.622  0.245
Au  0.755  0.246  0.378

---

Material: CaAsP3
Method: DFT, GGA-PBE
State: optimized geometry

Properties
ΔH_f (0 K) = 1.363 eV per atom
Size of the total moment = 0.00 Bohr magnetons per cell
Calculated volume = 26.93 Å³/atom
E_tot = -3.2132 eV/atom
Symmetry = Pm-3m (221)
Energy relative to the lowest polymorph listed for this composition = 1.075 eV per atom

abc: 5.126 5.126 5.126
angles: 90.00 90.00 90.00
Sites, in units of the cell vectors:
Ca  0.000  0.000  0.000
As  0.500  0.500  0.500
P  0.000  0.000  0.500
P  0.000  0.500  0.000
P  0.500  0.000  0.000